Entry 1:
First-principles (GGA-PBE) data for a relaxed structure of Pm3In2Au6, as listed in Alexandria via LeMat-Bulk.

a = 16.884 Å, b = 16.884 Å, c = 16.884 Å
α = 166.34°, β = 166.34°, γ = 19.37°
Sites, in units of the cell vectors:
Pm: 0.000 0.000 0.000
Pm: 0.184 0.184 0.000
Pm: 0.816 0.816 0.000
In: 0.367 0.367 0.000
In: 0.633 0.633 0.000
Au: 0.070 0.570 0.500
Au: 0.275 0.275 0.000
Au: 0.430 0.930 0.500
Au: 0.570 0.070 0.500
Au: 0.725 0.725 0.000
Au: 0.930 0.430 0.500

Values from the calculation:
**SG**: I4/mmm, No. 139
**N(E_F)**: 7.28 states/eV/f.u.
**Calculated formation energy**: -44.87 kJ per mole of atoms

=====

Entry 2:
First-principles (GGA-PBE) data for a relaxed structure of CeHgPbO, as listed in Alexandria via LeMat-Bulk.

a = 9.530 Å, b = 9.530 Å, c = 9.530 Å
α = 160.32°, β = 160.32°, γ = 27.97°
Sites, in units of the cell vectors:
Ce: 0.000 0.000 0.000
Hg: 0.643 0.643 0.000
Pb: 0.282 0.282 0.000
O: 0.467 0.467 0.000

Values from the calculation:
**SG**: I4mm, No. 107
**N(E_F)**: 5.87 states/eV/f.u.
**ΔE_f (raw)**: -1.26 eV per atom

=====

Entry 3:
First-principles (GGA-PBE) data for a relaxed structure of Pu2UPaP4, as listed in Alexandria via LeMat-Bulk.

a = 6.875 Å, b = 6.875 Å, c = 6.875 Å
α = 131.84°, β = 131.84°, γ = 70.48°
Sites, in units of the cell vectors:
Pu: 0.000 0.000 0.000
Pu: 0.750 0.250 0.500
U: 0.500 0.500 0.000
Pa: 0.250 0.750 0.500
P: 0.000 0.500 0.500
P: 0.252 0.252 0.000
P: 0.500 0.000 0.500
P: 0.748 0.748 0.000

Values from the calculation:
**SG**: I-4m2, No. 119
**N(E_F)**: 25.62 states/eV/f.u.
**Calculated formation energy**: -110.25 kJ per mole of atoms

=====

Entry 4:
First-principles (GGA-PBE) data for a relaxed structure of V5ReMo2W, as listed in Alexandria via LeMat-Bulk.

a = 7.420 Å, b = 7.420 Å, c = 12.647 Å
α = 90.00°, β = 90.00°, γ = 157.33°
Sites, in units of the cell vectors:
V: 0.023 0.977 0.500
V: 0.087 0.913 0.270
V: 0.173 0.827 0.922
V: 0.210 0.790 0.573
V: 0.454 0.546 0.356
V: 0.546 0.454 0.856
V: 0.790 0.210 0.073
V: 0.827 0.173 0.422
V: 0.913 0.087 0.770
V: 0.977 0.023 0.000
Re: 0.065 0.935 0.685
Re: 0.935 0.065 0.185
Mo: 0.342 0.658 0.910
Mo: 0.386 0.614 0.595
Mo: 0.614 0.386 0.095
Mo: 0.658 0.342 0.410
W: 0.268 0.732 0.244
W: 0.732 0.268 0.744

Values from the calculation:
**SG**: Cmc2_1, No. 36
**N(E_F)**: 9.55 states/eV/f.u.
**Calculated formation energy**: 27.41 kJ per mole of atoms

=====

Entry 5:
First-principles (GGA-PBE) data for a relaxed structure of SnPt4, as listed in Alexandria via LeMat-Bulk.

a = 4.875 Å, b = 4.875 Å, c = 4.875 Å
α = 90.00°, β = 90.00°, γ = 90.00°
Sites, in units of the cell vectors:
Sn: 0.000 0.000 0.000
Pt: 0.000 0.000 0.500
Pt: 0.000 0.500 0.000
Pt: 0.500 0.000 0.000
Pt: 0.500 0.500 0.500

Values from the calculation:
**SG**: Pm-3m, No. 221
**N(E_F)**: 6.75 states/eV/f.u.
**Calculated formation energy**: 121.38 kJ per mole of atoms
**ΔE to the lowest computed polymorph**: 1494 meV/atom

=====

Entry 6:
First-principles (GGA-PBE) data for a relaxed structure of Ti2CrH2, as listed in Alexandria via LeMat-Bulk.

a = 5.658 Å, b = 5.658 Å, c = 5.658 Å
α = 148.38°, β = 148.38°, γ = 45.32°
Sites, in units of the cell vectors:
Ti: 0.140 0.140 0.000
Ti: 0.860 0.860 0.000
Cr: 0.500 0.500 0.000
H: 0.250 0.750 0.500
H: 0.750 0.250 0.500

Values from the calculation:
**SG**: I4/mmm, No. 139
**N(E_F)**: 3.23 states/eV/f.u.
**ΔE to the lowest computed polymorph**: 0 meV/atom